15
Lattice="6.700 0.000 3.868 2.233 6.317 3.868 0.000 0.000 7.736" Properties=species:S:1:pos:R:3 comment="GGA-PBE PmEr6S8, relaxed" crystal_system=cubic pbc="T T T"
S 5.547 1.630 5.864
Pm 0.000 0.000 0.000
Er 4.466 3.158 3.868
Er 1.117 3.158 5.802
S 2.305 1.630 7.736
Er 1.117 3.158 1.934
S 3.386 4.687 5.864
S 6.628 4.687 7.736
S 5.547 1.630 9.608
S 6.700 4.737 11.604
Er 0.000 0.000 3.868
S 2.233 1.579 3.868
Er 3.350 0.000 1.934
Er 3.350 0.000 5.802
S 3.386 4.687 9.608

18
Lattice="3.370 0.000 0.000 -1.685 6.743 0.000 0.000 0.000 11.075" Properties=species:S:1:pos:R:3 comment="GGA-PBE Sr2MgAuO5, relaxed" crystal_system=orthorhombic pbc="T T T"
O 0.000 3.692 7.171
Au 1.685 0.387 10.503
Au 0.000 6.355 4.966
Sr 0.000 2.076 3.278
O 0.000 6.547 8.566
Sr 1.685 5.398 1.972
Mg 0.000 2.907 0.263
Mg 1.685 3.836 5.801
O 1.685 2.368 9.912
O 0.000 5.094 11.013
Sr 0.000 1.345 7.509
Sr 1.685 4.667 8.815
O 1.685 1.649 5.476
O 0.000 4.375 4.375
O 1.685 5.839 6.286
O 0.000 0.904 0.749
O 1.685 0.196 3.028
O 1.685 3.051 1.633

Number 1: calculated total energy -6.358 eV per atom. Number 2: calculated total energy -5.404 eV per atom.